Record 1
Compound: Dy2PaReC4
Source: Alexandria via LeMat-Bulk
Functional: PBE-GGA
Structure: optimized geometry

Computed properties:
Energy of formation = -0.0595 eV per atom
Total energy = -274.078 eV for the cell shown
Volume = 15.61 Å³/atom
D(E_F) = 14.99 states/eV per cell
Density = 10510 kg/m³

Lattice parameters (Å, degrees): 3.4490 11.8482 12.2220 90.00 90.00 90.00
Last column: nearest neighbours and their distance in Å.
Space group Cmcm (No. 63)
Inequivalent atoms, fractional coordinates:
Dy: 0.0000 0.1308 0.0398 x8  3 C 2.37-2.42
Pa: 0.0000 0.4047 0.2500 x4  6 C 2.54-2.73
Re: 0.0000 0.3361 0.7500 x4  4 C 1.90-2.10
C: 0.0000 0.0623 0.2500 x4  2 Re 2.10
C: 0.0000 0.2283 0.6344 x8  1 Re 1.90
C: 0.0000 0.5000 0.0000 x4  4 Dy 2.37

---

Record 2
Compound: DyPa2RuC4
Source: Alexandria via LeMat-Bulk
Functional: PBE-GGA
Structure: optimized geometry

Computed properties:
Energy of formation = -0.1331 eV per atom
Total energy = -283.321 eV for the cell shown
Volume = 15.48 Å³/atom
D(E_F) = 19.41 states/eV per cell
Density = 10375 kg/m³

Lattice parameters (Å, degrees): 3.5577 11.7859 11.8123 90.00 90.00 90.00
Last column: nearest neighbours and their distance in Å.
Space group Cmcm (No. 63)
Inequivalent atoms, fractional coordinates:
Dy: 0.0000 0.1169 0.2500 x4  6 C 2.68-2.74
Pa: 0.0000 0.3673 0.0444 x8  6 C 2.36-2.58
Ru: 0.0000 0.1459 0.7500 x4  4 C 2.02-2.05
C: 0.0000 0.0000 0.0000 x4  4 Pa 2.43
C: 0.0000 0.2656 0.6277 x8  1 Ru 2.02
C: 0.0000 0.4406 0.2500 x4  2 Ru 2.05

---

Record 3
Compound: DyPaCS2
Source: Alexandria via LeMat-Bulk
Functional: PBE-GGA
Structure: optimized geometry

Computed properties:
Raw formation energy = -1.387 eV/atom
Total energy = -77.024 eV for the cell shown
Volume = 20.75 Å³/atom
D(E_F) = 5.30 states/eV per cell
Density = 7518 kg/m³

Lattice parameters (Å, degrees): 3.8669 3.8669 13.8751 90.00 90.00 90.00
Last column: nearest neighbours and their distance in Å.
Space group P4/nmm (No. 129, origin choice 2)
Inequivalent atoms, fractional coordinates:
Dy: 0.2500 0.2500 0.1179 x2  5 S 2.59-2.76
Pa: 0.2500 0.2500 0.5894 x2  4 C 2.30
C: 0.2500 0.7500 0.5000 x2  4 Pa 2.30
S: 0.2500 0.2500 0.3047 x2  1 Dy 2.59
S: 0.2500 0.2500 0.9076 x2  5 Dy 2.76-2.92